DFT (PBE) results for a relaxed Hf2NbAs2 crystal.

Structure (CIF):
```
data_Hf2NbAs2
_chemical_formula_sum 'Hf4 Nb2 As4'
_cell_length_a 4.075
_cell_length_b 4.075
_cell_length_c 11.799
_cell_angle_alpha 90.00
_cell_angle_beta 90.00
_cell_angle_gamma 90.00
_symmetry_space_group_name_H-M 'I 4/m m m'
_symmetry_Int_Tables_number 139
_symmetry_space_group_name_Hall '-I 4 2'
loop_
_atom_site_label
_atom_site_type_symbol
_atom_site_fract_x
_atom_site_fract_y
_atom_site_fract_z
Hf1 Hf 0.000 0.500 0.250
Nb1 Nb 0.000 0.000 0.000
As1 As 0.000 0.000 0.398
```

Computed properties:
- Raw total energy: -78.72 eV/cell
- Excess energy over the best structure of this formula in the dataset: 0.005 eV per atom
- Crystal system: tetragonal